w:
{
  "formula": "Si3SO",
  "functional": "GGA-PBE",
  "state": "optimized geometry",
  "lattice": [[4.3143, 0.0000, 0.0000], [0.0000, 4.3143, 0.0000], [0.0000, 0.0000, 4.3143]],
  "species": ["Si", "Si", "Si", "S", "O"],
  "frac_coords": [[0.0000, 0.0000, 0.5000], [0.0000, 0.5000, 0.0000], [0.5000, 0.0000, 0.0000], [0.5000, 0.5000, 0.5000], [0.0000, 0.0000, 0.0000]],
  "dos_at_fermi_per_ev_cell": 2.4
}



x:
{
  "formula": "Si3SO",
  "functional": "GGA-PBE",
  "state": "optimized geometry",
  "lattice": [[4.5810, 0.0000, 0.0000], [0.0000, 4.5810, 0.0000], [0.0000, 0.0000, 4.5810]],
  "species": ["Si", "Si", "Si", "S", "O"],
  "frac_coords": [[0.0000, 0.0000, 0.5000], [0.0000, 0.5000, 0.0000], [0.5000, 0.0000, 0.0000], [0.0000, 0.0000, 0.0000], [0.5000, 0.5000, 0.5000]],
  "dos_at_fermi_per_ev_cell": 3.4
}



Ranking the structures above by energy, w is first and the second is 796 meV/atom behind.